Entry 1:
## LiPm3Mg4 (PBE)

Data for LiPm3Mg4 after structural relaxation.

Values from the calculation:
- Density of states at the Fermi level: 7.5 states/eV/f.u.
- Formation energy from the elements: -0.074 eV/atom
- Symmetry: No. 123
- VASP energy: -2.89 eV per atom

Cell and atoms, written as extended XYZ:
```
8
Lattice="3.7821 0.0000 0.0000 0.0000 3.7821 0.0000 0.0000 0.0000 15.2296" Properties=species:S:1:pos:R:3 pbc="T T T"
Li 0.0000 0.0000 0.0000
Pm 0.0000 0.0000 3.7251
Pm 0.0000 0.0000 7.6148
Pm 0.0000 0.0000 11.5045
Mg 1.8910 1.8910 1.6250
Mg 1.8910 1.8910 5.6593
Mg 1.8910 1.8910 9.5703
Mg 1.8910 1.8910 13.6046
```


Entry 2:
## Li2Pm2Mg3 (PBE)

Data for Li2Pm2Mg3 after structural relaxation.

Values from the calculation:
- Density of states at the Fermi level: 6.4 states/eV/f.u.
- Formation energy from the elements: 0.037 eV/atom
- Symmetry: No. 12
- VASP energy: -2.55 eV per atom
- Energy above the most stable polymorph in this dataset: 62.6 meV/atom

Cell and atoms, written as extended XYZ:
```
14
Lattice="10.5127 0.0000 0.0000 0.0000 4.9975 0.0000 -1.9961 0.0000 6.7819" Properties=species:S:1:pos:R:3 pbc="T T T"
Li 0.5191 0.0000 1.1638
Li 2.7411 2.4988 5.6180
Li 5.7754 2.4988 1.1638
Li 7.9975 0.0000 5.6180
Pm -0.3387 2.4988 5.7601
Pm 3.5989 0.0000 1.0218
Pm 4.9177 0.0000 5.7601
Pm 8.8552 2.4988 1.0218
Mg -0.9980 0.0000 3.3909
Mg 1.3646 2.4988 2.4727
Mg 1.8956 0.0000 4.3092
Mg 4.2583 2.4988 3.3909
Mg 6.6210 0.0000 2.4727
Mg 7.1519 2.4988 4.3092
```


Entry 3:
## LiPm2Mg (PBE)

Data for LiPm2Mg after structural relaxation.

Values from the calculation:
- Density of states at the Fermi level: 4.0 states/eV/f.u.
- Formation energy from the elements: 0.181 eV/atom
- Symmetry: No. 166
- VASP energy: -3.07 eV per atom
- Energy above the most stable polymorph in this dataset: 176.0 meV/atom

Cell and atoms, written as extended XYZ:
```
12
Lattice="3.4227 0.0000 0.0000 -1.7113 2.9641 0.0000 0.0000 0.0000 36.3036" Properties=species:S:1:pos:R:3 pbc="T T T"
Li 0.0000 0.0000 0.0000
Li 0.0000 1.9761 24.2024
Li 1.7113 0.9880 12.1012
Pm 0.0000 0.0000 3.3180
Pm 0.0000 0.0000 32.9856
Pm 0.0000 1.9761 20.8844
Pm 0.0000 1.9761 27.5204
Pm 1.7113 0.9880 8.7832
Pm 1.7113 0.9880 15.4192
Mg 0.0000 0.0000 18.1518
Mg 0.0000 1.9761 6.0506
Mg 1.7113 0.9880 30.2530
```


Entry 4:
## Li2Pm2Mg3 (PBE)

Data for Li2Pm2Mg3 after structural relaxation.

Values from the calculation:
- Density of states at the Fermi level: 5.6 states/eV/f.u.
- Formation energy from the elements: -0.025 eV/atom
- Symmetry: No. 65
- VASP energy: -2.61 eV per atom
- Energy above the most stable polymorph in this dataset: 0.0 meV/atom

Cell and atoms, written as extended XYZ:
```
14
Lattice="4.1502 0.0000 0.0000 0.0000 24.0209 0.0000 0.0000 0.0000 3.5733" Properties=species:S:1:pos:R:3 pbc="T T T"
Li 0.0000 5.1915 0.0000
Li 0.0000 18.8294 0.0000
Li 2.0751 6.8189 0.0000
Li 2.0751 17.2019 0.0000
Pm 0.0000 1.8983 0.0000
Pm 0.0000 22.1225 0.0000
Pm 2.0751 10.1121 0.0000
Pm 2.0751 13.9088 0.0000
Mg 0.0000 8.0263 1.7867
Mg 0.0000 12.0104 1.7867
Mg 0.0000 15.9946 1.7867
Mg 2.0751 0.0000 1.7867
Mg 2.0751 3.9841 1.7867
Mg 2.0751 20.0367 1.7867
```


Entry 5:
## LiPm2Mg3 (PBE)

Data for LiPm2Mg3 after structural relaxation.

Values from the calculation:
- Density of states at the Fermi level: 4.5 states/eV/f.u.
- Formation energy from the elements: -0.066 eV/atom
- Symmetry: No. 123
- VASP energy: -2.77 eV per atom
- Energy above the most stable polymorph in this dataset: 0.0 meV/atom

Cell and atoms, written as extended XYZ:
```
6
Lattice="3.7410 0.0000 0.0000 0.0000 3.7410 0.0000 0.0000 0.0000 11.4169" Properties=species:S:1:pos:R:3 pbc="T T T"
Li 0.0000 0.0000 0.0000
Pm 0.0000 0.0000 3.7611
Pm 0.0000 0.0000 7.6558
Mg 1.8705 1.8705 1.6317
Mg 1.8705 1.8705 5.7085
Mg 1.8705 1.8705 9.7853
```


Entry 6:
## LiPmMg11 (PBE)

Data for LiPmMg11 after structural relaxation.

Values from the calculation:
- Density of states at the Fermi level: 8.3 states/eV/f.u.
- Formation energy from the elements: -0.043 eV/atom
- Symmetry: No. 12
- VASP energy: -1.90 eV per atom

Cell and atoms, written as extended XYZ:
```
13
Lattice="2.9195 -7.2413 0.0000 2.9195 7.2413 0.0000 -2.8081 0.0000 7.2546" Properties=species:S:1:pos:R:3 pbc="T T T"
Li 0.0000 0.0000 0.0000
Pm 1.5154 0.0000 3.6273
Mg 0.0557 3.6207 3.6273
Mg 1.5369 5.7210 2.0655
Mg 1.4714 2.5241 1.0634
Mg 1.4939 5.7210 5.1890
Mg 1.4714 -2.5241 1.0634
Mg 0.0557 -3.6207 3.6273
Mg 2.9195 0.0000 0.0000
Mg 1.5595 2.5241 6.1911
Mg 1.5369 -5.7210 2.0655
Mg 1.5595 -2.5241 6.1911
Mg 1.4939 -5.7210 5.1890
```


Entry 7:
## LiPm5Mg6 (PBE)

Data for LiPm5Mg6 after structural relaxation.

Values from the calculation:
- Density of states at the Fermi level: 13.0 states/eV/f.u.
- Formation energy from the elements: -0.068 eV/atom
- Symmetry: No. 12
- VASP energy: -3.00 eV per atom

Cell and atoms, written as extended XYZ:
```
12
Lattice="8.5422 -3.8277 0.0000 8.5422 3.8277 0.0000 -1.7066 0.0000 5.1239" Properties=species:S:1:pos:R:3 pbc="T T T"
Li 0.0000 0.0000 0.0000
Pm 1.8782 0.0000 3.4643
Pm 5.1335 0.0000 1.7150
Pm 8.5422 0.0000 0.0000
Pm 10.2442 0.0000 3.4088
Pm 13.4996 0.0000 1.6596
Mg 4.4342 2.0581 4.3341
Mg 7.6889 2.0823 2.5619
Mg 10.9436 2.0581 0.7898
Mg 4.4342 -2.0581 4.3341
Mg 7.6889 -2.0823 2.5619
Mg 10.9436 -2.0581 0.7898
```


Entry 8:
## Li3PmMg2 (PBE)

Data for Li3PmMg2 after structural relaxation.

Values from the calculation:
- Density of states at the Fermi level: 5.0 states/eV/f.u.
- Formation energy from the elements: 0.089 eV/atom
- Symmetry: No. 139
- VASP energy: -2.19 eV per atom

Cell and atoms, written as extended XYZ:
```
12
Lattice="-2.1118 2.1118 16.5805 2.1118 -2.1118 16.5805 2.1118 2.1118 -16.5805" Properties=species:S:1:pos:R:3 pbc="T T T"
Li 2.1118 0.0000 1.4063
Li 0.0000 0.0000 6.3399
Li 2.1118 0.0000 15.1741
Li 0.0000 2.1118 1.4063
Li 0.0000 0.0000 26.8211
Li 0.0000 2.1118 15.1741
Pm 0.0000 0.0000 11.5250
Pm 0.0000 0.0000 21.6359
Mg 0.0000 0.0000 3.4852
Mg 2.1118 0.0000 8.2902
Mg 0.0000 2.1118 8.2902
Mg 0.0000 0.0000 29.6757
```


Entry 9:
## LiPm2Mg3 (PBE)

Data for LiPm2Mg3 after structural relaxation.

Values from the calculation:
- Density of states at the Fermi level: 6.0 states/eV/f.u.
- Formation energy from the elements: -0.048 eV/atom
- Symmetry: No. 194
- VASP energy: -2.75 eV per atom
- Energy above the most stable polymorph in this dataset: 17.8 meV/atom

Cell and atoms, written as extended XYZ:
```
12
Lattice="6.1353 0.0000 0.0000 -3.0676 5.3133 0.0000 0.0000 0.0000 9.7516" Properties=species:S:1:pos:R:3 pbc="T T T"
Li 0.0000 0.0000 0.0000
Li 0.0000 0.0000 4.8758
Pm 0.0000 3.5422 0.6938
Pm 0.0000 3.5422 4.1820
Pm 3.0676 1.7711 5.5696
Pm 3.0676 1.7711 9.0578
Mg 0.0000 1.7963 7.3137
Mg -1.5120 4.4151 7.3137
Mg 1.5557 0.8982 2.4379
Mg 1.5120 4.4151 7.3137
Mg 4.5796 0.8982 2.4379
Mg 3.0676 3.5170 2.4379
```


Entry 10:
## Li6PmMg4 (PBE)

Data for Li6PmMg4 after structural relaxation.

Values from the calculation:
- Density of states at the Fermi level: 7.8 states/eV/f.u.
- Formation energy from the elements: 0.056 eV/atom
- Symmetry: No. 187
- VASP energy: -2.00 eV per atom

Cell and atoms, written as extended XYZ:
```
11
Lattice="9.3176 0.0000 0.0000 -4.6588 8.0693 0.0000 0.0000 0.0000 3.3216" Properties=species:S:1:pos:R:3 pbc="T T T"
Li 0.0000 2.8388 0.0000
Li -2.2003 6.6499 0.0000
Li 2.0984 1.2115 1.6608
Li 2.2003 6.6499 0.0000
Li 7.2192 1.2115 1.6608
Li 4.6588 5.6462 1.6608
Pm 4.6588 2.6898 0.0000
Mg 0.0000 0.0000 0.0000
Mg -1.9944 4.2280 1.6608
Mg 1.9944 4.2280 1.6608
Mg 0.0000 7.6824 1.6608
```


Entry 11:
## Li2PmMg (PBE)

Data for Li2PmMg after structural relaxation.

Values from the calculation:
- Density of states at the Fermi level: 5.4 states/eV/f.u.
- Formation energy from the elements: 0.039 eV/atom
- Symmetry: No. 225
- VASP energy: -2.50 eV per atom
- Energy above the most stable polymorph in this dataset: 0.0 meV/atom

Cell and atoms, written as extended XYZ:
```
16
Lattice="7.2126 0.0000 0.0000 0.0000 7.2126 0.0000 0.0000 0.0000 7.2126" Properties=species:S:1:pos:R:3 pbc="T T T"
Li 1.8031 1.8031 1.8031
Li 1.8031 1.8031 5.4094
Li 1.8031 5.4094 1.8031
Li 1.8031 5.4094 5.4094
Li 5.4094 1.8031 1.8031
Li 5.4094 1.8031 5.4094
Li 5.4094 5.4094 1.8031
Li 5.4094 5.4094 5.4094
Pm 0.0000 0.0000 0.0000
Pm 0.0000 3.6063 3.6063
Pm 3.6063 0.0000 3.6063
Pm 3.6063 3.6063 0.0000
Mg 0.0000 0.0000 3.6063
Mg 0.0000 3.6063 0.0000
Mg 3.6063 0.0000 0.0000
Mg 3.6063 3.6063 3.6063
```


Entry 12:
## LiPmMg3 (PBE)

Data for LiPmMg3 after structural relaxation.

Values from the calculation:
- Density of states at the Fermi level: 3.4 states/eV/f.u.
- Formation energy from the elements: 0.070 eV/atom
- Symmetry: No. 221
- VASP energy: -2.22 eV per atom
- Energy above the most stable polymorph in this dataset: 80.1 meV/atom

Cell and atoms, written as extended XYZ:
```
5
Lattice="4.9486 0.0000 0.0000 0.0000 4.9486 0.0000 0.0000 0.0000 4.9486" Properties=species:S:1:pos:R:3 pbc="T T T"
Li 0.0000 0.0000 0.0000
Pm 2.4743 2.4743 2.4743
Mg 0.0000 0.0000 2.4743
Mg 0.0000 2.4743 0.0000
Mg 2.4743 0.0000 0.0000
```